Crystalline GdHoAl4Fe2 at its relaxed geometry, computed with PBE.

Calculated values
For the total moment, the calculation gives 2.02 μB per formula unit. For the electronic total energy, the calculation gives -0.2007 Ha/atom.

Cell lengths 7.047, 4.050, 10.126 Å; angles 90.00, 90.00, 90.00 degrees
Space group Amm2 (No. 38)
Asymmetric unit:
Gd (0.000, 0.000, 0.000) (multiplicity 2)
Ho (0.500, 0.000, 0.124) (multiplicity 2)
Al (0.195, 0.000, 0.718) (multiplicity 4)
Al (0.308, 0.000, 0.405) (multiplicity 4)
Fe (0.000, 0.000, 0.275) (multiplicity 2)
Fe (0.500, 0.000, 0.848) (multiplicity 2)



Crystalline NaCo at its relaxed geometry, computed with PBE.

Calculated values
For the total moment, the calculation gives 1.57 μB per formula unit. For the electronic total energy, the calculation gives -0.1251 Ha/atom.

Cell lengths 2.531, 2.531, 4.822 Å; angles 90.00, 90.00, 90.00 degrees
Space group P4/mmm (No. 123)
Asymmetric unit:
Na (0.000, 0.000, 0.000) (multiplicity 1)
Co (0.500, 0.500, 0.500) (multiplicity 1)



Crystalline Zn3P11 at its relaxed geometry, computed with PBE.

Calculated values
For the electronic total energy, the calculation gives -0.1665 Ha/atom.

Cell lengths 13.039, 7.268, 6.255 Å; angles 90.00, 115.90, 90.00 degrees
Space group Cm (No. 8)
Asymmetric unit:
Zn (0.000, 0.000, 0.000) (multiplicity 2)
Zn (0.091, 0.500, 0.349) (multiplicity 2)
Zn (0.312, 0.000, 0.540) (multiplicity 2)
P (0.041, 0.242, 0.529) (multiplicity 4)
P (0.090, 0.260, 0.912) (multiplicity 4)
P (0.113, 0.000, 0.437) (multiplicity 2)
P (0.296, 0.500, 0.511) (multiplicity 2)
P (0.321, 0.349, 0.982) (multiplicity 4)
P (0.350, 0.275, 0.350) (multiplicity 4)
P (0.485, 0.000, 0.916) (multiplicity 2)